An optimized crystal structure of YP3Pd10, computed with GGA-PBE.

Computed properties:
Energy: -5.9580 eV per atom
V: 16.15 Å³/atom
Energy of formation: -8.8 eV/f.u.
Total magnetization: 0.00 μB/cell

a = 8.615 Å, b = 8.615 Å, c = 8.615 Å
α = 60.00°, β = 60.00°, γ = 60.00°
Fractional coordinates of all 28 atoms:
P: 0.740 0.740 0.260
P: 0.740 0.260 0.740
P: 0.260 0.260 0.740
P: 0.260 0.740 0.740
P: 0.260 0.740 0.260
P: 0.740 0.260 0.260
Y: 0.750 0.750 0.750
Y: 0.250 0.250 0.250
Pd: 0.385 0.845 0.385
Pd: 0.615 0.155 0.615
Pd: 0.000 0.345 0.000
Pd: 0.000 0.345 0.655
Pd: 0.655 0.000 0.000
Pd: 0.345 0.000 0.000
Pd: 0.000 0.000 0.655
Pd: 0.000 0.655 0.000
Pd: 0.655 0.345 0.000
Pd: 0.155 0.615 0.615
Pd: 0.345 0.000 0.655
Pd: 0.385 0.385 0.845
Pd: 0.385 0.385 0.385
Pd: 0.000 0.655 0.345
Pd: 0.000 0.000 0.345
Pd: 0.615 0.615 0.615
Pd: 0.845 0.385 0.385
Pd: 0.345 0.655 0.000
Pd: 0.615 0.615 0.155
Pd: 0.655 0.000 0.345

---

An optimized crystal structure of YP2Pd, computed with GGA-PBE.

Computed properties:
Energy above the most stable polymorph in this dataset: 141 meV/atom
Energy: -6.1263 eV per atom
V: 17.67 Å³/atom
Energy of formation: -2.0 eV/f.u.
Total magnetization: 0.00 μB/cell

a = 4.641 Å, b = 4.641 Å, c = 4.641 Å
α = 60.00°, β = 60.00°, γ = 60.00°
Fractional coordinates of all 4 atoms:
Y: 0.000 0.000 0.000
P: 0.250 0.250 0.250
P: 0.750 0.750 0.750
Pd: 0.500 0.500 0.500

---

An optimized crystal structure of Y2PPd, computed with GGA-PBE.

Computed properties:
Energy: -6.6269 eV per atom
V: 25.09 Å³/atom
Energy of formation: -3.0 eV/f.u.
Total magnetization: 0.00 μB/cell

a = 7.328 Å, b = 7.328 Å, c = 6.389 Å
α = 55.01°, β = 55.01°, γ = 90.00°
Fractional coordinates of all 8 atoms:
Y: 0.616 0.125 0.250
Y: 0.875 0.866 0.750
Y: 0.134 0.625 0.250
Y: 0.375 0.384 0.750
Pd: 0.750 0.250 0.500
Pd: 0.000 0.000 0.000
P: 0.250 0.750 0.500
P: 0.500 0.500 0.000

---

An optimized crystal structure of YP2Pd4, computed with GGA-PBE.

Computed properties:
Energy: -6.2471 eV per atom
V: 16.30 Å³/atom
Energy of formation: -5.7 eV/f.u.
Total magnetization: 0.00 μB/cell

a = 4.176 Å, b = 4.145 Å, c = 6.910 Å
α = 107.45°, β = 90.00°, γ = 90.00°
Fractional coordinates of all 7 atoms:
Pd: 0.500 0.826 0.653
Pd: 0.000 0.670 0.341
Pd: 0.500 0.174 0.347
Pd: 0.000 0.330 0.659
P: 0.500 0.416 0.831
P: 0.500 0.584 0.169
Y: 0.000 0.000 0.000

---

An optimized crystal structure of YP2Pd2, computed with GGA-PBE.

Computed properties:
Energy: -6.4604 eV per atom
V: 16.71 Å³/atom
Energy of formation: -4.6 eV/f.u.
Total magnetization: 0.00 μB/cell

a = 4.109 Å, b = 4.109 Å, c = 5.739 Å
α = 110.99°, β = 110.99°, γ = 89.95°
Fractional coordinates of all 5 atoms:
P: 0.612 0.612 0.223
P: 0.388 0.388 0.777
Pd: 0.250 0.750 0.500
Pd: 0.750 0.250 0.500
Y: 0.000 0.000 0.000

---

An optimized crystal structure of YP2Pd4, computed with GGA-PBE.

Computed properties:
Energy: -6.2455 eV per atom
V: 16.25 Å³/atom
Energy of formation: -5.7 eV/f.u.
Total magnetization: 0.00 μB/cell

a = 3.809 Å, b = 7.729 Å, c = 7.729 Å
α = 90.00°, β = 90.00°, γ = 90.00°
Fractional coordinates of all 14 atoms:
Pd: 0.500 0.821 0.427
Pd: 0.000 0.073 0.321
Pd: 0.500 0.427 0.821
Pd: 0.500 0.179 0.573
Pd: 0.000 0.321 0.073
Pd: 0.000 0.679 0.927
Pd: 0.500 0.573 0.179
Pd: 0.000 0.927 0.679
Y: 0.000 0.500 0.500
Y: 0.500 0.000 0.000
P: 0.500 0.724 0.724
P: 0.000 0.776 0.224
P: 0.500 0.276 0.276
P: 0.000 0.224 0.776